Record 1
VASP calculation (PBE-GGA) on a relaxed Ta2CoPd2Se6 crystal.

Properties
Fermi-level density of states in states/eV per cell: 4.08
ΔE_f (raw) in eV/f.u.: -4.68

Cell: 6.314 6.314 9.288 Å, 110.53 110.53 122.68°
Fractional coordinates of all 11 atoms:
Co (0.000, 0.000, 0.500)
Pd (0.850, 0.150, 0.000)
Pd (0.150, 0.850, 0.000)
Se (0.220, 0.550, 0.719)
Se (0.006, 0.006, 0.777)
Se (0.780, 0.450, 0.281)
Se (0.550, 0.220, 0.719)
Se (0.994, 0.994, 0.223)
Se (0.450, 0.780, 0.281)
Ta (0.633, 0.367, 0.500)
Ta (0.367, 0.633, 0.500)

Record 2
VASP calculation (PBE-GGA) on a relaxed ZrAuNO2 crystal.

Properties
Fermi-level density of states in states/eV per cell: 2.63
ΔE_f (raw) in eV/f.u.: 1.01

Cell: 4.049 4.049 4.049 Å, 90.00 90.00 90.00°
Fractional coordinates of all 5 atoms:
O (0.000, 0.500, 0.000)
O (0.500, 0.000, 0.000)
N (0.000, 0.000, 0.500)
Zr (0.500, 0.500, 0.500)
Au (0.000, 0.000, 0.000)